# 1
! PBE BeCuHg2W, relaxed; values from VASP
! ΔE_f, eV per atom: 0.966
! V, A^3/atom: 17.44
! Magnetic moment, μB per atom: 0.0000
! Calculated density, g/cm³: 12.52
! Electronic total energy, eV per atom: -3.3094
&SYSTEM
  ibrav = 0, nat = 5, ntyp = 4
/
ATOMIC_SPECIES
W 183.84 W.upf
Hg 200.59 Hg.upf
Cu 63.55 Cu.upf
Be 9.01 Be.upf
CELL_PARAMETERS angstrom
4.4495 0.0000 0.0000
0.0000 4.4040 0.0000
0.0000 0.0000 4.4495
ATOMIC_POSITIONS angstrom
W 0.0000 2.2020 0.0000
Hg 0.0000 0.0000 2.2248
Hg 2.2248 0.0000 0.0000
Cu 2.2248 2.2020 2.2248
Be 0.0000 0.0000 0.0000



# 2
! PBE HoBeCu3, relaxed; values from VASP
! ΔE_f, eV per atom: -0.038
! E above lowest polymorph, eV/atom: 0.080
! V, A^3/atom: 15.11
! Magnetic moment, μB per atom: 0.0000
! Calculated density, g/cm³: 8.01
! Electronic total energy, eV per atom: -4.1561
&SYSTEM
  ibrav = 0, nat = 5, ntyp = 3
/
ATOMIC_SPECIES
Cu 63.55 Cu.upf
Ho 164.93 Ho.upf
Be 9.01 Be.upf
CELL_PARAMETERS angstrom
4.2278 0.0000 0.0000
0.0000 4.2278 0.0000
0.0000 0.0000 4.2278
ATOMIC_POSITIONS angstrom
Cu 0.0000 0.0000 2.1139
Cu 2.1139 0.0000 0.0000
Cu 0.0000 2.1139 0.0000
Ho 2.1139 2.1139 2.1139
Be 0.0000 0.0000 0.0000



# 3
! PBE HoBe6Cu6, relaxed; values from VASP
! ΔE_f, eV per atom: -0.142
! V, A^3/atom: 11.20
! Magnetic moment, μB per atom: 0.0000
! Calculated density, g/cm³: 6.84
! Electronic total energy, eV per atom: -4.1048
&SYSTEM
  ibrav = 0, nat = 13, ntyp = 3
/
ATOMIC_SPECIES
Be 9.01 Be.upf
Cu 63.55 Cu.upf
Ho 164.93 Ho.upf
CELL_PARAMETERS angstrom
-2.2728 3.1000 2.2307
-2.7710 -2.3933 4.9299
3.4977 2.6663 4.2857
ATOMIC_POSITIONS angstrom
Be -2.4078 0.3671 5.8912
Be -1.3855 -1.1966 2.4650
Be -2.5219 0.3534 3.5803
Be 0.8616 3.0059 5.5552
Be 0.6124 2.8831 3.2582
Be 1.7488 1.3331 2.1429
Cu -0.5168 0.9660 2.5582
Cu -1.2165 2.1045 4.6905
Cu -0.3296 1.2685 6.7559
Cu -1.0293 2.4070 8.8881
Cu 1.3099 0.9005 4.5105
Cu -0.5832 -0.6275 4.7051
Ho 0.0000 0.0000 0.0000



# 4
! PBE HoBeCu3, relaxed; values from VASP
! ΔE_f, eV per atom: -0.118
! E above lowest polymorph, eV/atom: 0.000
! V, A^3/atom: 14.73
! Magnetic moment, μB per atom: 0.0000
! Calculated density, g/cm³: 8.22
! Electronic total energy, eV per atom: -4.2366
&SYSTEM
  ibrav = 0, nat = 10, ntyp = 3
/
ATOMIC_SPECIES
Be 9.01 Be.upf
Cu 63.55 Cu.upf
Ho 164.93 Ho.upf
CELL_PARAMETERS angstrom
4.8972 0.0001 -0.0002
-0.0001 5.8941 0.0000
0.0002 -2.9473 5.1042
ATOMIC_POSITIONS angstrom
Be 0.0000 0.0000 0.0000
Be 2.4486 0.0001 -0.0001
Cu 3.6732 1.2976 4.1521
Cu 3.6731 0.0003 1.9039
Cu 3.6733 -1.2980 4.1526
Cu 1.2240 4.2449 0.9514
Cu 1.2242 2.9466 3.2001
Cu 1.2241 1.6493 0.9519
Ho 1.2246 -0.0005 3.4025
Ho 3.6727 2.9473 1.7017



# 5
! PBE HoBeCu11, relaxed; values from VASP
! ΔE_f, eV per atom: -0.101
! V, A^3/atom: 12.95
! Magnetic moment, μB per atom: 0.0000
! Calculated density, g/cm³: 8.61
! Electronic total energy, eV per atom: -4.2062
&SYSTEM
  ibrav = 0, nat = 13, ntyp = 3
/
ATOMIC_SPECIES
Ho 164.93 Ho.upf
Cu 63.55 Cu.upf
Be 9.01 Be.upf
CELL_PARAMETERS angstrom
-0.7273 -4.5697 1.1080
1.9818 -3.7827 -4.7506
5.0054 -2.5460 3.0016
ATOMIC_POSITIONS angstrom
Ho 0.0000 0.0000 0.0000
Cu 2.3067 -7.8985 -0.8981
Cu 2.1390 -3.5578 2.0548
Cu 1.9906 -5.2069 0.0822
Cu 4.2692 -5.6914 -0.7232
Cu 1.3284 -2.7414 -0.1123
Cu 0.9909 -1.8913 -2.3753
Cu 4.0027 -5.1740 1.8266
Cu 2.2571 -5.7243 -2.4676
Cu 2.5027 -1.2730 1.5008
Cu 3.9532 -2.9998 0.2571
Cu 4.9314 -8.1569 -0.5287
Be 0.6272 -4.1762 -1.8213



# 6
! PBE Ho2BeCu, relaxed; values from VASP
! ΔE_f, eV per atom: -0.088
! E above lowest polymorph, eV/atom: 0.000
! V, A^3/atom: 20.00
! Magnetic moment, μB per atom: 0.0000
! Calculated density, g/cm³: 8.35
! Electronic total energy, eV per atom: -4.3323
&SYSTEM
  ibrav = 0, nat = 4, ntyp = 3
/
ATOMIC_SPECIES
Ho 164.93 Ho.upf
Cu 63.55 Cu.upf
Be 9.01 Be.upf
CELL_PARAMETERS angstrom
-0.5851 -2.1237 2.6095
1.1503 -2.6153 -1.8705
6.3506 1.1219 2.3369
ATOMIC_POSITIONS angstrom
Ho 4.7983 0.8477 1.7657
Ho 1.5523 0.2742 0.5712
Cu 3.4579 -1.8086 1.5379
Be 0.2826 -2.3695 0.3695



# 7
! PBE Ho2BeCu, relaxed; values from VASP
! ΔE_f, eV per atom: -0.077
! E above lowest polymorph, eV/atom: 0.011
! V, A^3/atom: 20.12
! Magnetic moment, μB per atom: 0.0000
! Calculated density, g/cm³: 8.30
! Electronic total energy, eV per atom: -4.3212
&SYSTEM
  ibrav = 0, nat = 4, ntyp = 3
/
ATOMIC_SPECIES
Ho 164.93 Ho.upf
Be 9.01 Be.upf
Cu 63.55 Cu.upf
CELL_PARAMETERS angstrom
4.8461 0.0000 0.0000
2.4230 4.1968 0.0000
2.4230 1.3989 3.9568
ATOMIC_POSITIONS angstrom
Ho 2.4230 1.3989 0.9892
Ho 7.2691 4.1968 2.9676
Be 0.0000 0.0000 0.0000
Cu 4.8461 2.7979 1.9784



# 8
! PBE HoBe2Cu4, relaxed; values from VASP
! ΔE_f, eV per atom: -0.117
! V, A^3/atom: 13.15
! Magnetic moment, μB per atom: 0.0000
! Calculated density, g/cm³: 7.89
! Electronic total energy, eV per atom: -4.1768
&SYSTEM
  ibrav = 0, nat = 7, ntyp = 3
/
ATOMIC_SPECIES
Be 9.01 Be.upf
Cu 63.55 Cu.upf
Ho 164.93 Ho.upf
CELL_PARAMETERS angstrom
-3.2933 -3.3911 -0.6531
0.9618 -3.5885 -3.3112
0.3153 -4.1296 2.7591
ATOMIC_POSITIONS angstrom
Be -1.8350 -6.4054 -0.7665
Be -0.1812 -4.7038 -0.4387
Cu -0.3201 -6.5558 1.2546
Cu -2.0874 -4.8811 1.2156
Cu -1.6961 -4.5533 -2.4598
Cu 0.0713 -6.2281 -2.4208
Ho 0.0000 0.0000 0.0000



# 9
! PBE HoBe3Cu10, relaxed; values from VASP
! ΔE_f, eV per atom: 0.010
! V, A^3/atom: 12.69
! Magnetic moment, μB per atom: 0.0000
! Calculated density, g/cm³: 7.73
! Electronic total energy, eV per atom: -4.0417
&SYSTEM
  ibrav = 0, nat = 28, ntyp = 3
/
ATOMIC_SPECIES
Cu 63.55 Cu.upf
Be 9.01 Be.upf
Ho 164.93 Ho.upf
CELL_PARAMETERS angstrom
6.8852 0.0000 3.9752
2.2951 6.4914 3.9752
0.0000 0.0000 7.9503
ATOMIC_POSITIONS angstrom
Cu 0.7912 2.2379 1.3704
Cu 5.6119 3.9682 6.1805
Cu 4.5901 1.0781 7.9503
Cu 0.0000 0.0000 5.2094
Cu 1.5038 4.2535 2.6047
Cu 4.5115 0.0000 5.3456
Cu 3.5683 2.5232 6.1805
Cu 3.5683 2.5232 9.7202
Cu 2.5465 3.9682 7.9503
Cu 1.5038 4.2535 5.3456
Cu 2.3737 0.0000 1.3704
Cu 2.3737 0.0000 6.5799
Cu 4.5901 5.4133 7.9503
Cu 3.8775 4.2535 3.9752
Cu 6.6338 2.5232 7.9503
Cu 4.5115 0.0000 2.6047
Cu 0.7912 2.2379 6.5799
Cu 5.6119 3.9682 9.7202
Cu 0.0000 0.0000 2.7409
Cu 5.3027 2.2379 3.9752
Be 5.6765 1.7094 6.0687
Be 5.6765 1.7094 9.8319
Be 6.7628 4.7820 7.9503
Be 2.4174 1.7094 7.9503
Be 3.5038 4.7820 9.8319
Be 3.5038 4.7820 6.0687
Ho 2.2951 1.6229 3.9752
Ho 6.8852 4.8686 11.9255



# 10
! PBE HoBe2Cu5, relaxed; values from VASP
! ΔE_f, eV per atom: -0.094
! V, A^3/atom: 13.22
! Magnetic moment, μB per atom: 0.0000
! Calculated density, g/cm³: 7.86
! Electronic total energy, eV per atom: -4.1582
&SYSTEM
  ibrav = 0, nat = 8, ntyp = 3
/
ATOMIC_SPECIES
Be 9.01 Be.upf
Cu 63.55 Cu.upf
Ho 164.93 Ho.upf
CELL_PARAMETERS angstrom
3.5288 0.0000 0.0000
1.7644 5.5770 0.2582
1.7644 1.2784 5.4346
ATOMIC_POSITIONS angstrom
Be 1.7644 1.7176 1.4263
Be 5.2932 5.1378 4.2665
Cu 3.5288 3.6587 4.6934
Cu 3.5288 1.5697 2.9587
Cu 1.7644 3.4277 2.8464
Cu 3.5288 5.2857 2.7341
Cu 3.5288 3.1967 0.9994
Ho 0.0000 0.0000 0.0000



# 11
! PBE Ho2Be15Cu2, relaxed; values from VASP
! ΔE_f, eV per atom: -0.146
! V, A^3/atom: 10.58
! Magnetic moment, μB per atom: 0.0000
! Calculated density, g/cm³: 4.89
! Electronic total energy, eV per atom: -4.0003
&SYSTEM
  ibrav = 0, nat = 19, ntyp = 3
/
ATOMIC_SPECIES
Be 9.01 Be.upf
Cu 63.55 Cu.upf
Ho 164.93 Ho.upf
CELL_PARAMETERS angstrom
-0.7888 5.4559 2.1065
-4.6194 -1.2097 3.4676
3.0148 -0.7067 5.0237
ATOMIC_POSITIONS angstrom
Be -3.1471 0.5772 5.3226
Be -1.2049 3.9567 4.6324
Be -0.3944 2.7280 1.0532
Be 0.7235 0.8322 6.1115
Be 1.5074 -0.3533 2.5119
Be -2.4869 -1.0691 3.9023
Be -3.5494 0.6523 3.0874
Be -1.1885 -0.4171 5.9654
Be 0.8823 -0.8472 4.5891
Be -3.1170 2.7074 4.4863
Be 0.7537 2.9624 5.2753
Be -2.3097 -0.6048 1.7338
Be 0.2737 3.7345 2.9214
Be 1.9523 1.0148 4.2088
Be -1.8589 3.5940 2.4867
Cu -2.1448 3.1719 9.4969
Cu -0.2486 0.3677 1.1009
Ho -1.5712 2.3237 6.9573
Ho -0.8222 1.2159 3.6405



# 12
! PBE LaHoBeCu, relaxed; values from VASP
! ΔE_f, eV per atom: 0.011
! V, A^3/atom: 22.17
! Magnetic moment, μB per atom: 0.0000
! Calculated density, g/cm³: 7.05
! Electronic total energy, eV per atom: -4.3210
&SYSTEM
  ibrav = 0, nat = 4, ntyp = 4
/
ATOMIC_SPECIES
Be 9.01 Be.upf
Cu 63.55 Cu.upf
La 138.91 La.upf
Ho 164.93 Ho.upf
CELL_PARAMETERS angstrom
-3.6049 3.3652 -0.8559
-3.8977 0.3410 3.1216
-0.4671 3.9834 2.9944
ATOMIC_POSITIONS angstrom
Be -5.9772 5.7672 3.9450
Cu -1.9924 1.9224 1.3150
La -3.9848 3.8448 2.6300
Ho 0.0000 0.0000 0.0000